HgTeS6 | PBE-GGA | relaxed

## Properties
* magnetic moment: 0.000 μB/atom
* density: 3.6 g/cm³
* DOS at the Fermi energy: 1.9 states/eV/cell
* space-group type: P-1, No. 2
* formation energy without anion corrections: 142 meV per atom

Cell lengths 6.5112, 5.3666, 7.8421 Å; angles 100.41, 63.41, 86.56 degrees
Last column: nearest neighbours and their distance in Å.
Positions (direct):
Hg  0.5000  0.5000  0.5000  2 S 2.37
Te  0.0000  0.0000  0.0000  6 S 2.56-2.84
S  0.1585  0.8067  0.6331  1 Hg 2.37, 1 Te 2.56
S  0.3420  0.3267  0.9005  1 S 1.94
S  0.7972  0.3675  0.8871  1 S 1.94
S  0.6580  0.6733  0.0995  1 S 1.94
S  0.8415  0.1933  0.3669  1 Hg 2.37, 1 Te 2.56
S  0.2028  0.6325  0.1129  1 S 1.94